A plane-wave DFT calculation with PBE+U was carried out for AlTcMoO2 after structural relaxation.

Output
raw total energy = -6.257 eV/atom

abc: 3.6418 5.6044 3.6418
angles: 90.00 90.00 90.00
With the nearest neighbours (Å) after each atom.
Sites, in units of the cell vectors:
Mo: 0.5000 0.5000 0.5000  4 Tc 2.58
Tc: 0.0000 0.5000 0.0000  4 Mo 2.58, 2 Al 2.80
O: 0.0000 0.0000 0.5000  2 Al 1.82
O: 0.5000 0.0000 0.0000  2 Al 1.82
Al: 0.0000 0.0000 0.0000  4 O 1.82